Record 1
Below is a relaxed PrDy4Er15 crystal, with properties calculated at the PBE level.

Results
VASP energy: -4.5588 eV per atom
crystal system: tetragonal
calculated volume: 618 Å³ per cell
formation enthalpy at 0 K: 0.023 eV/atom
density of states at the Fermi level: 26.33 states/eV/cell

CIF file:
```
data_PrDy4Er15
_cell_length_a 4.983
_cell_length_b 4.983
_cell_length_c 24.891
_cell_angle_alpha 90.00
_cell_angle_beta 90.00
_cell_angle_gamma 90.00
_symmetry_space_group_name_H-M 'P 4/m m m'
_symmetry_Int_Tables_number 123
_symmetry_space_group_name_Hall '-P 4 2'
loop_
_atom_site_label
_atom_site_fract_x
_atom_site_fract_y
_atom_site_fract_z
Pr1 0.000 0.000 0.000
Dy1 0.000 0.000 0.201
Dy2 0.000 0.000 0.401
Er1 0.000 0.500 0.102
Er2 0.000 0.500 0.301
Er3 0.000 0.500 0.500
Er4 0.500 0.500 0.000
Er5 0.500 0.500 0.202
Er6 0.500 0.500 0.400
```


Record 2
Below is a relaxed MgTaCu crystal, with properties calculated at the PBE level.

Results
VASP energy: -5.7315 eV per atom
crystal system: tetragonal
calculated volume: 99 Å³ per cell
formation enthalpy at 0 K: 0.116 eV/atom
energy relative to the lowest polymorph listed for this composition: 34 meV per atom
density of states at the Fermi level: 5.92 states/eV/cell

CIF file:
```
data_MgTaCu
_cell_length_a 2.886
_cell_length_b 2.886
_cell_length_c 11.909
_cell_angle_alpha 90.00
_cell_angle_beta 90.00
_cell_angle_gamma 90.00
_symmetry_space_group_name_H-M 'I 4 m m'
_symmetry_Int_Tables_number 107
_symmetry_space_group_name_Hall 'I 4 -2'
loop_
_atom_site_label
_atom_site_fract_x
_atom_site_fract_y
_atom_site_fract_z
Mg1 0.000 0.000 0.000
Ta1 0.000 0.000 0.306
Cu1 0.000 0.000 0.654
```


Record 3
Below is a relaxed ThCdAg crystal, with properties calculated at the PBE level.

Results
VASP energy: -3.7045 eV per atom
crystal system: cubic
calculated volume: 332 Å³ per cell
formation enthalpy at 0 K: 0.024 eV/atom
density of states at the Fermi level: 18.53 states/eV/cell

CIF file:
```
data_ThCdAg
_cell_length_a 6.923
_cell_length_b 6.923
_cell_length_c 6.923
_cell_angle_alpha 90.00
_cell_angle_beta 90.00
_cell_angle_gamma 90.00
_symmetry_space_group_name_H-M 'F -4 3 m'
_symmetry_Int_Tables_number 216
_symmetry_space_group_name_Hall 'F -4 2 3'
loop_
_atom_site_label
_atom_site_fract_x
_atom_site_fract_y
_atom_site_fract_z
Th1 0.000 0.000 0.000
Cd1 0.000 0.000 0.500
Ag1 0.250 0.250 0.250
```


Record 4
Below is a relaxed LiZrAgPt crystal, with properties calculated at the PBE level.

Results
VASP energy: -5.3096 eV per atom
crystal system: cubic
calculated volume: 279 Å³ per cell
formation enthalpy at 0 K: -0.471 eV/atom
density of states at the Fermi level: 9.10 states/eV/cell

CIF file:
```
data_LiZrAgPt
_cell_length_a 6.531
_cell_length_b 6.531
_cell_length_c 6.531
_cell_angle_alpha 90.00
_cell_angle_beta 90.00
_cell_angle_gamma 90.00
_symmetry_space_group_name_H-M 'F -4 3 m'
_symmetry_Int_Tables_number 216
_symmetry_space_group_name_Hall 'F -4 2 3'
loop_
_atom_site_label
_atom_site_fract_x
_atom_site_fract_y
_atom_site_fract_z
Li1 0.000 0.000 0.000
Zr1 0.000 0.000 0.500
Ag1 0.250 0.250 0.750
Pt1 0.250 0.250 0.250
```


Record 5
Below is a relaxed CoGeAs2Se crystal, with properties calculated at the PBE level.

Results
energy relative to the elements, uncorrected: 0.383 eV/atom
VASP energy: -4.5181 eV per atom
crystal system: tetragonal
calculated volume: 103 Å³ per cell
energy relative to the lowest polymorph listed for this composition: 0 meV per atom
density of states at the Fermi level: 3.43 states/eV/cell

CIF file:
```
data_CoGeAs2Se
_cell_length_a 4.428
_cell_length_b 4.428
_cell_length_c 5.258
_cell_angle_alpha 90.00
_cell_angle_beta 90.00
_cell_angle_gamma 90.00
_symmetry_space_group_name_H-M 'P 4/m m m'
_symmetry_Int_Tables_number 123
_symmetry_space_group_name_Hall '-P 4 2'
loop_
_atom_site_label
_atom_site_fract_x
_atom_site_fract_y
_atom_site_fract_z
Co1 0.000 0.000 0.000
Ge1 0.500 0.500 0.500
As1 0.000 0.500 0.000
Se1 0.000 0.000 0.500
```


Record 6
Below is a relaxed InMoCl6 crystal, with properties calculated at the PBE level.

Results
energy relative to the elements, uncorrected: -0.878 eV/atom
VASP energy: -3.9596 eV per atom
crystal system: trigonal
calculated volume: 592 Å³ per cell
density of states at the Fermi level: 0.67 states/eV/cell

CIF file:
```
data_InMoCl6
_cell_length_a 6.3157
_cell_length_b 6.3157
_cell_length_c 17.1233
_cell_angle_alpha 90.00
_cell_angle_beta 90.00
_cell_angle_gamma 120.00
_symmetry_space_group_name_H-M 'R -3'
_symmetry_Int_Tables_number 148
_symmetry_space_group_name_Hall '-R 3'
loop_
_atom_site_label
_atom_site_fract_x
_atom_site_fract_y
_atom_site_fract_z
In1 0.0000 0.0000 0.0000
Mo1 0.0000 0.0000 0.5000
Cl1 0.0016 0.3215 0.5815
```


Record 7
Below is a relaxed Sm2YBi crystal, with properties calculated at the PBE level.

Results
VASP energy: -5.3352 eV per atom
crystal system: tetragonal
calculated volume: 126 Å³ per cell
formation enthalpy at 0 K: -0.389 eV/atom
energy relative to the lowest polymorph listed for this composition: 39 meV per atom
density of states at the Fermi level: 4.28 states/eV/cell

CIF file:
```
data_Sm2YBi
_cell_length_a 4.297
_cell_length_b 4.297
_cell_length_c 6.806
_cell_angle_alpha 90.00
_cell_angle_beta 90.00
_cell_angle_gamma 90.00
_symmetry_space_group_name_H-M 'P 4/m m m'
_symmetry_Int_Tables_number 123
_symmetry_space_group_name_Hall '-P 4 2'
loop_
_atom_site_label
_atom_site_fract_x
_atom_site_fract_y
_atom_site_fract_z
Sm1 0.000 0.000 0.238
Y1 0.500 0.500 0.500
Bi1 0.500 0.500 0.000
```


Record 8
Below is a relaxed Tm2InS crystal, with properties calculated at the PBE level.

Results
energy relative to the elements, uncorrected: -1.143 eV/atom
VASP energy: -5.0954 eV per atom
crystal system: trigonal
calculated volume: 289 Å³ per cell
energy relative to the lowest polymorph listed for this composition: 33 meV per atom
density of states at the Fermi level: 6.56 states/eV/cell

CIF file:
```
data_Tm2InS
_cell_length_a 3.7142
_cell_length_b 3.7142
_cell_length_c 24.1859
_cell_angle_alpha 90.00
_cell_angle_beta 90.00
_cell_angle_gamma 120.00
_symmetry_space_group_name_H-M 'R 3 m'
_symmetry_Int_Tables_number 160
_symmetry_space_group_name_Hall 'R 3 -2"'
loop_
_atom_site_label
_atom_site_fract_x
_atom_site_fract_y
_atom_site_fract_z
Tm1 0.0000 0.0000 0.0000
Tm2 0.0000 0.0000 0.2007
In1 0.0000 0.0000 0.4336
S1 0.0000 0.0000 0.6012
```